MgTa3: relaxed, PBE.

Summary:
Its excess energy over the best structure of this formula in the dataset is 0.667 eV/f.u. The formation energy is 302.7 meV/atom.

Unit cell a=4.2483 b=4.2483 c=8.2209 alpha=90.00 beta=90.00 gamma=90.00
Closest atoms and distances in Å follow each position.
Space group I4/mmm (No. 139)
Unique sites:
Mg: 0.0000 0.0000 0.0000 [2 per cell]  12 Ta 2.96-3.00
Ta: 0.0000 0.0000 0.5000 [2 per cell]  8 Ta 2.96, 4 Mg 3.00
Ta: 0.0000 0.5000 0.2500 [4 per cell]  8 Ta 2.96-3.00, 4 Mg 2.96

---

NpNiAu: relaxed, PBE.

Summary:
Its excess energy over the best structure of this formula in the dataset is 0.000 eV/f.u. The formation energy is -6.9 meV/atom.

Unit cell a=4.6384 b=4.6384 c=2.9873 alpha=90.00 beta=90.00 gamma=120.00
Closest atoms and distances in Å follow each position.
Space group P-6m2 (No. 187)
Unique sites:
Np: 0.0000 0.0000 0.0000 [1 per cell]  2 Np 2.99, 6 Au 3.07, 6 Ni 3.07
Ni: 0.6667 0.3333 0.5000 [1 per cell]  3 Au 2.68, 2 Ni 2.99
Au: 0.3333 0.6667 0.5000 [1 per cell]  3 Ni 2.68, 2 Au 2.99

---

SrLiMn2S4: relaxed, PBE.

Summary:
The formation energy (no corrections) is -791 kJ/mol of formula units.

Unit cell a=3.8342 b=12.4980 c=12.6161 alpha=90.00 beta=90.00 gamma=90.00
Closest atoms and distances in Å follow each position.
Space group Cmcm (No. 63)
Unique sites:
Sr: 0.0000 0.1179 0.2500 [4 per cell]  6 S 2.93-3.03
Li: 0.0000 0.1546 0.7500 [4 per cell]  4 S 2.26-2.29
Mn: 0.0000 0.3691 0.0598 [8 per cell]  6 S 2.45-2.63
S: 0.0000 0.0000 0.0000 [4 per cell]  4 Mn 2.63
S: 0.0000 0.2650 0.6048 [8 per cell]  1 Li 2.29, 1 Mn 2.45
S: 0.0000 0.4407 0.2500 [4 per cell]  2 Li 2.26

---

Computed values of spin magnetization (unit: μB/f.u.) for the preceding records, in sequence: 0.00, 4.03, 9.00.